Record 1
A plane-wave DFT calculation with PBE was carried out for a geometry-optimized Ca2TcTe structure.

a = 7.0612 Å, b = 7.0612 Å, c = 7.0612 Å
α = 90.00°, β = 90.00°, γ = 90.00°
With the nearest neighbours (Å) after each atom.
Fractional coordinates of all 16 atoms:
Ca: 0.0000 0.0000 0.0000  4 Te 3.06, 4 Ca 3.06
Ca: 0.0000 0.5000 0.5000  4 Ca 3.06, 4 Te 3.06
Ca: 0.2500 0.2500 0.2500  4 Tc 3.06, 4 Ca 3.06
Ca: 0.2500 0.7500 0.7500  4 Tc 3.06, 4 Ca 3.06
Ca: 0.5000 0.0000 0.5000  4 Ca 3.06, 4 Te 3.06
Ca: 0.5000 0.5000 0.0000  4 Ca 3.06, 4 Te 3.06
Ca: 0.7500 0.2500 0.7500  4 Tc 3.06, 4 Ca 3.06
Ca: 0.7500 0.7500 0.2500  4 Tc 3.06, 4 Ca 3.06
Tc: 0.0000 0.0000 0.5000  4 Te 3.06, 4 Ca 3.06
Tc: 0.0000 0.5000 0.0000  4 Te 3.06, 4 Ca 3.06
Tc: 0.5000 0.0000 0.0000  4 Te 3.06, 4 Ca 3.06
Tc: 0.5000 0.5000 0.5000  4 Te 3.06, 4 Ca 3.06
Te: 0.2500 0.2500 0.7500  4 Tc 3.06, 4 Ca 3.06
Te: 0.2500 0.7500 0.2500  4 Tc 3.06, 4 Ca 3.06
Te: 0.7500 0.2500 0.2500  4 Tc 3.06, 4 Ca 3.06
Te: 0.7500 0.7500 0.7500  4 Tc 3.06, 4 Ca 3.06

Output
- Fermi-level density of states: 1.4884 states/eV per atom
- Space-group type: F-43m, No. 216
- Magnetic moment: 0.68 μB per formula unit
- Calculated total energy: -4.267 eV/atom

Record 2
A plane-wave DFT calculation with PBE was carried out for a geometry-optimized Co3BrN structure.

a = 4.4062 Å, b = 4.4062 Å, c = 4.4062 Å
α = 90.00°, β = 90.00°, γ = 90.00°
With the nearest neighbours (Å) after each atom.
Fractional coordinates of all 5 atoms:
Co: 0.0000 0.0000 0.5000  2 Br 2.20
Co: 0.0000 0.5000 0.0000  2 Br 2.20
Co: 0.5000 0.0000 0.0000  2 Br 2.20
Br: 0.0000 0.0000 0.0000  6 Co 2.20
N: 0.5000 0.5000 0.5000  12 Co 3.12

Output
- Fermi-level density of states: 1.5535 states/eV per atom
- Energy above the lowest structure with this stoichiometry: 8.01 eV/f.u.
- Space-group type: Pm-3m, No. 221
- Magnetic moment: 7.00 μB per formula unit
- Calculated total energy: -4.178 eV/atom

Record 3
A plane-wave DFT calculation with PBE was carried out for a geometry-optimized Zr3Ti4As4 structure.

a = 8.2880 Å, b = 8.2880 Å, c = 8.2880 Å
α = 154.90°, β = 124.41°, γ = 61.92°
With the nearest neighbours (Å) after each atom.
Fractional coordinates of all 11 atoms:
Zr: 0.0000 0.0000 0.0000  4 As 2.90
Zr: 0.3898 0.8898 0.5000  6 As 2.77-2.87
Zr: 0.6102 0.1102 0.5000  6 As 2.77-2.87
Ti: 0.0199 0.3276 0.6923  4 As 2.53-2.67
Ti: 0.3648 0.6724 0.6923  4 As 2.53-2.67
Ti: 0.6352 0.3276 0.3077  4 As 2.53-2.67
Ti: 0.9801 0.6724 0.3077  4 As 2.53-2.67
As: 0.2417 0.2417 0.0000  6 Ti 2.53-2.67, 2 Zr 2.77
As: 0.2938 0.5000 0.7938  2 Ti 2.57, 4 Zr 2.87
As: 0.7062 0.5000 0.2062  2 Ti 2.57, 4 Zr 2.87
As: 0.7583 0.7583 0.0000  6 Ti 2.53-2.67, 2 Zr 2.77

Output
- Fermi-level density of states: 0.6692 states/eV per atom
- Space-group type: Immm, No. 71
- Magnetic moment: 0.00 μB per formula unit
- Calculated total energy: -7.795 eV/atom
- ΔE_f: -0.90 eV per atom

Record 4
A plane-wave DFT calculation with PBE was carried out for a geometry-optimized BaMn2Te structure.

a = 4.7041 Å, b = 6.5092 Å, c = 7.9508 Å
α = 90.00°, β = 90.00°, γ = 90.00°
With the nearest neighbours (Å) after each atom.
Fractional coordinates of all 8 atoms:
Ba: 0.0000 0.0000 0.0000  5 Mn 3.51-3.83, 4 Te 3.51-3.53
Ba: 0.5000 0.5000 0.5000  5 Mn 3.51-3.83, 4 Te 3.51-3.53
Mn: 0.0000 0.0000 0.5183  2 Mn 2.65, 2 Te 2.80
Mn: 0.0000 0.5000 0.1723  2 Mn 2.65, 1 Te 2.74
Mn: 0.5000 0.0000 0.6723  2 Mn 2.65, 1 Te 2.74
Mn: 0.5000 0.5000 0.0183  2 Mn 2.65, 2 Te 2.80
Te: 0.0000 0.5000 0.8283  3 Mn 2.74-2.80
Te: 0.5000 0.0000 0.3283  3 Mn 2.74-2.80

Output
- Fermi-level density of states: 0.9320 states/eV per atom
- Space-group type: Imm2, No. 44
- Magnetic moment: 8.34 μB per formula unit
- Calculated total energy: -5.588 eV/atom

Record 5
A plane-wave DFT calculation with PBE was carried out for a geometry-optimized Mg2Cd5Sn structure.

a = 6.3073 Å, b = 12.7795 Å, c = 4.4805 Å
α = 90.00°, β = 90.00°, γ = 90.00°
With the nearest neighbours (Å) after each atom.
Fractional coordinates of all 16 atoms:
Mg: 0.2428 0.1228 0.0000  10 Cd 3.13-3.26, 2 Sn 3.13
Mg: 0.2572 0.6228 0.0000  10 Cd 3.13-3.26, 2 Sn 3.13
Mg: 0.7428 0.3772 0.0000  10 Cd 3.13-3.26, 2 Sn 3.13
Mg: 0.7572 0.8772 0.0000  10 Cd 3.13-3.26, 2 Sn 3.13
Cd: 0.0000 0.5000 0.5000  6 Cd 3.14-3.18, 2 Sn 3.15, 4 Mg 3.18
Cd: 0.0086 0.7460 0.5000  7 Cd 3.10-3.16, 4 Mg 3.16-3.22, 1 Sn 3.25
Cd: 0.2395 0.3682 0.0000  6 Cd 3.10-3.18, 4 Mg 3.13-3.26, 2 Sn 3.25
Cd: 0.2605 0.8682 0.0000  6 Cd 3.10-3.18, 4 Mg 3.13-3.26, 2 Sn 3.25
Cd: 0.4914 0.2460 0.5000  7 Cd 3.10-3.16, 4 Mg 3.16-3.22, 1 Sn 3.25
Cd: 0.5000 0.0000 0.5000  6 Cd 3.14-3.18, 2 Sn 3.15, 4 Mg 3.18
Cd: 0.5086 0.7540 0.5000  7 Cd 3.10-3.16, 4 Mg 3.16-3.22, 1 Sn 3.25
Cd: 0.7395 0.1318 0.0000  6 Cd 3.10-3.18, 4 Mg 3.13-3.26, 2 Sn 3.25
Cd: 0.7605 0.6318 0.0000  6 Cd 3.10-3.18, 4 Mg 3.13-3.26, 2 Sn 3.25
Cd: 0.9914 0.2540 0.5000  7 Cd 3.10-3.16, 4 Mg 3.16-3.22, 1 Sn 3.25
Sn: 0.0000 0.0000 0.5000  4 Mg 3.13, 8 Cd 3.15-3.25
Sn: 0.5000 0.5000 0.5000  4 Mg 3.13, 8 Cd 3.15-3.25

Output
- Fermi-level density of states: 0.3112 states/eV per atom
- Space-group type: Pbam, No. 55
- Magnetic moment: 0.00 μB per formula unit
- Calculated total energy: -1.530 eV/atom
- ΔE_f: -0.06 eV per atom

Record 6
A plane-wave DFT calculation with PBE was carried out for a geometry-optimized Hf3CdC structure.

a = 8.0246 Å, b = 8.0246 Å, c = 8.4877 Å
α = 94.12°, β = 94.12°, γ = 22.92°
With the nearest neighbours (Å) after each atom.
Fractional coordinates of all 10 atoms:
Hf: 0.0021 0.0021 0.1809  2 C 2.21
Hf: 0.1731 0.1731 0.3752  2 C 2.20
Hf: 0.3498 0.3498 0.9634  1 C 2.32
Hf: 0.6502 0.6502 0.0366  1 C 2.32
Hf: 0.8269 0.8269 0.6248  2 C 2.20
Hf: 0.9979 0.9979 0.8191  2 C 2.21
Cd: 0.1789 0.1789 0.7348  7 Hf 2.98-3.20, 2 Cd 3.19
Cd: 0.8211 0.8211 0.2652  7 Hf 2.98-3.20, 2 Cd 3.19
C: 0.4114 0.4114 0.7232  5 Hf 2.20-2.32
C: 0.5886 0.5886 0.2768  5 Hf 2.20-2.32

Output
- Fermi-level density of states: 0.6812 states/eV per atom
- Energy above the lowest structure with this stoichiometry: 1.79 eV/f.u.
- Space-group type: C2/m, No. 12
- Magnetic moment: 0.00 μB per formula unit
- Calculated total energy: -8.075 eV/atom
- ΔE_f: -0.08 eV per atom

Record 7
A plane-wave DFT calculation with PBE was carried out for a geometry-optimized AcHoGaAg structure.

a = 7.5842 Å, b = 7.5842 Å, c = 7.5842 Å
α = 90.00°, β = 90.00°, γ = 90.00°
With the nearest neighbours (Å) after each atom.
Fractional coordinates of all 16 atoms:
Ac: 0.0000 0.0000 0.0000  4 Ga 3.28, 4 Ag 3.28
Ac: 0.0000 0.5000 0.5000  4 Ga 3.28, 4 Ag 3.28
Ac: 0.5000 0.0000 0.5000  4 Ga 3.28, 4 Ag 3.28
Ac: 0.5000 0.5000 0.0000  4 Ga 3.28, 4 Ag 3.28
Ho: 0.0000 0.0000 0.5000  4 Ag 3.28, 4 Ga 3.28
Ho: 0.0000 0.5000 0.0000  4 Ag 3.28, 4 Ga 3.28
Ho: 0.5000 0.0000 0.0000  4 Ag 3.28, 4 Ga 3.28
Ho: 0.5000 0.5000 0.5000  4 Ag 3.28, 4 Ga 3.28
Ga: 0.2500 0.2500 0.7500  4 Ho 3.28, 4 Ac 3.28
Ga: 0.2500 0.7500 0.2500  4 Ho 3.28, 4 Ac 3.28
Ga: 0.7500 0.2500 0.2500  4 Ho 3.28, 4 Ac 3.28
Ga: 0.7500 0.7500 0.7500  4 Ho 3.28, 4 Ac 3.28
Ag: 0.2500 0.2500 0.2500  4 Ac 3.28, 4 Ho 3.28
Ag: 0.2500 0.7500 0.7500  4 Ac 3.28, 4 Ho 3.28
Ag: 0.7500 0.2500 0.7500  4 Ac 3.28, 4 Ho 3.28
Ag: 0.7500 0.7500 0.2500  4 Ac 3.28, 4 Ho 3.28

Output
- Fermi-level density of states: 0.7966 states/eV per atom
- Space-group type: F-43m, No. 216
- Magnetic moment: 0.00 μB per formula unit
- Calculated total energy: -3.993 eV/atom
- ΔE_f: -0.35 eV per atom

Record 8
A plane-wave DFT calculation with PBE was carried out for a geometry-optimized Ag2MoCl6 structure.

a = 6.7982 Å, b = 6.8356 Å, c = 12.1846 Å
α = 90.00°, β = 121.75°, γ = 90.00°
With the nearest neighbours (Å) after each atom.
Fractional coordinates of all 18 atoms:
Ag: 0.1671 0.1531 0.1604  4 Cl 2.58-2.80
Ag: 0.1671 0.3469 0.6604  4 Cl 2.58-2.80
Ag: 0.8329 0.6531 0.3396  4 Cl 2.58-2.80
Ag: 0.8329 0.8469 0.8396  4 Cl 2.58-2.80
Mo: 0.5000 0.0000 0.0000  6 Cl 2.37-2.44
Mo: 0.5000 0.5000 0.5000  6 Cl 2.37-2.44
Cl: 0.1553 0.0560 0.7921  1 Mo 2.41, 1 Ag 2.58
Cl: 0.1553 0.4440 0.2921  1 Mo 2.41, 1 Ag 2.58
Cl: 0.2662 0.6677 0.5689  1 Mo 2.44, 1 Ag 2.70
Cl: 0.2662 0.8323 0.0689  1 Mo 2.44, 1 Ag 2.70
Cl: 0.4395 0.2011 0.5762  1 Mo 2.37
Cl: 0.4395 0.2989 0.0762  1 Mo 2.37
Cl: 0.5605 0.7011 0.9238  1 Mo 2.37
Cl: 0.5605 0.7989 0.4238  1 Mo 2.37
Cl: 0.7338 0.1677 0.9311  1 Mo 2.44, 1 Ag 2.70
Cl: 0.7338 0.3323 0.4311  1 Mo 2.44, 1 Ag 2.70
Cl: 0.8447 0.5560 0.7079  1 Mo 2.41, 1 Ag 2.58
Cl: 0.8447 0.9440 0.2079  1 Mo 2.41, 1 Ag 2.58

Output
- Fermi-level density of states: 0.6110 states/eV per atom
- Space-group type: P2_1/c, No. 14
- Magnetic moment: 2.00 μB per formula unit
- Calculated total energy: -3.713 eV/atom

Record 9
A plane-wave DFT calculation with PBE was carried out for a geometry-optimized Ca2AlTe4 structure.

a = 5.4678 Å, b = 5.4678 Å, c = 15.4659 Å
α = 90.00°, β = 90.00°, γ = 90.00°
With the nearest neighbours (Å) after each atom.
Fractional coordinates of all 14 atoms:
Ca: 0.0000 0.0000 0.1267  5 Te 3.04-3.36
Ca: 0.0000 0.0000 0.8733  5 Te 3.04-3.36
Ca: 0.5000 0.5000 0.3733  5 Te 3.04-3.36
Ca: 0.5000 0.5000 0.6267  5 Te 3.04-3.36
Al: 0.0000 0.0000 0.5000  6 Te 2.73
Al: 0.5000 0.5000 0.0000  6 Te 2.73
Te: 0.0000 0.0000 0.3235  1 Al 2.73, 1 Ca 3.04
Te: 0.0000 0.0000 0.6765  1 Al 2.73, 1 Ca 3.04
Te: 0.0000 0.5000 0.0000  2 Al 2.73
Te: 0.0000 0.5000 0.5000  2 Al 2.73
Te: 0.5000 0.0000 0.0000  2 Al 2.73
Te: 0.5000 0.0000 0.5000  2 Al 2.73
Te: 0.5000 0.5000 0.1765  1 Al 2.73, 1 Ca 3.04
Te: 0.5000 0.5000 0.8235  1 Al 2.73, 1 Ca 3.04

Output
- Fermi-level density of states: 0.6536 states/eV per atom
- Space-group type: I4/mmm, No. 139
- Magnetic moment: 0.00 μB per formula unit
- Calculated total energy: -3.631 eV/atom

Record 10
A plane-wave DFT calculation with PBE was carried out for a geometry-optimized MnTlTeN2 structure.

a = 4.1867 Å, b = 4.1867 Å, c = 6.5907 Å
α = 90.00°, β = 90.00°, γ = 90.00°
With the nearest neighbours (Å) after each atom.
Fractional coordinates of all 5 atoms:
Mn: 0.0000 0.0000 0.0000  4 Te 2.96
Tl: 0.5000 0.5000 0.5000  4 N 2.09
Te: 0.5000 0.5000 0.0000  4 Mn 2.96, 2 Tl 3.30
N: 0.0000 0.5000 0.5000  2 Tl 2.09
N: 0.5000 0.0000 0.5000  2 Tl 2.09

Output
- Fermi-level density of states: 1.4618 states/eV per atom
- Energy above the lowest structure with this stoichiometry: 7.15 eV/f.u.
- Space-group type: P4/mmm, No. 123
- Magnetic moment: 2.47 μB per formula unit
- Calculated total energy: -3.953 eV/atom

Record 11
A plane-wave DFT calculation with PBE was carried out for a geometry-optimized PmMnHg2 structure.

a = 7.1872 Å, b = 7.1872 Å, c = 7.1872 Å
α = 90.00°, β = 90.00°, γ = 90.00°
With the nearest neighbours (Å) after each atom.
Fractional coordinates of all 16 atoms:
Pm: 0.0000 0.0000 0.0000  8 Hg 3.11
Pm: 0.0000 0.5000 0.5000  8 Hg 3.11
Pm: 0.5000 0.0000 0.5000  8 Hg 3.11
Pm: 0.5000 0.5000 0.0000  8 Hg 3.11
Mn: 0.0000 0.0000 0.5000  8 Hg 3.11
Mn: 0.0000 0.5000 0.0000  8 Hg 3.11
Mn: 0.5000 0.0000 0.0000  8 Hg 3.11
Mn: 0.5000 0.5000 0.5000  8 Hg 3.11
Hg: 0.2500 0.2500 0.2500  4 Mn 3.11, 4 Pm 3.11
Hg: 0.2500 0.2500 0.7500  4 Mn 3.11, 4 Pm 3.11
Hg: 0.2500 0.7500 0.2500  4 Mn 3.11, 4 Pm 3.11
Hg: 0.2500 0.7500 0.7500  4 Mn 3.11, 4 Pm 3.11
Hg: 0.7500 0.2500 0.2500  4 Mn 3.11, 4 Pm 3.11
Hg: 0.7500 0.2500 0.7500  4 Mn 3.11, 4 Pm 3.11
Hg: 0.7500 0.7500 0.2500  4 Mn 3.11, 4 Pm 3.11
Hg: 0.7500 0.7500 0.7500  4 Mn 3.11, 4 Pm 3.11

Output
- Fermi-level density of states: 0.5481 states/eV per atom
- Space-group type: Fm-3m, No. 225
- Magnetic moment: 4.26 μB per formula unit
- Calculated total energy: -3.757 eV/atom
- ΔE_f: -0.13 eV per atom

Record 12
A plane-wave DFT calculation with PBE was carried out for a geometry-optimized Bi2HSBr structure.

a = 6.1517 Å, b = 6.1517 Å, c = 3.3234 Å
α = 90.00°, β = 90.00°, γ = 90.00°
With the nearest neighbours (Å) after each atom.
Fractional coordinates of all 5 atoms:
Bi: 0.0000 0.5000 0.0000  2 Br 3.08, 2 Bi 3.32
Bi: 0.5000 0.0000 0.0000  2 Br 3.08, 2 Bi 3.32
H: 0.0000 0.0000 0.5000  2 Br 1.66
S: 0.5000 0.5000 0.5000  2 S 3.32, 8 Bi 3.50
Br: 0.0000 0.0000 0.0000  2 H 1.66

Output
- Fermi-level density of states: 0.5833 states/eV per atom
- Space-group type: P4/mmm, No. 123
- Magnetic moment: 0.00 μB per formula unit
- Calculated total energy: -2.824 eV/atom